# Ta2AlRu

An optimized crystal structure of Ta2AlRu (PBEsol, the Alexandria database).

Results
calculated formation energy: -0.10 eV/atom

abc: 3.352 3.352 5.666
angles: 90.00 90.00 90.00
Space group P4/mmm (No. 123)
Symmetry-distinct sites (fractional):
Ta 0.000 0.000 0.243
Al 0.500 0.500 0.500
Ru 0.500 0.500 0.000

=====

# Ta2AlRu

An optimized crystal structure of Ta2AlRu (PBEsol, the Alexandria database).

Results
calculated formation energy: -0.26 eV/atom

abc: 10.162 3.048 4.550
angles: 90.00 116.22 90.00
Space group Cm (No. 8)
Symmetry-distinct sites (fractional):
Ta 0.000 0.000 0.000
Ta 0.244 0.000 0.747
Al 0.470 0.000 0.470
Ru 0.237 0.500 0.240

=====

# Ta2AlRu

An optimized crystal structure of Ta2AlRu (PBEsol, the Alexandria database).

Results
calculated formation energy: -0.28 eV/atom

abc: 3.054 3.054 6.784
angles: 90.00 90.00 90.00
Space group P4mm (No. 99)
Symmetry-distinct sites (fractional):
Ta 0.000 0.000 0.000
Ta 0.500 0.500 0.290
Al 0.000 0.000 0.557
Ru 0.500 0.500 0.773

=====

# Tb3Al12Ru4

An optimized crystal structure of Tb3Al12Ru4 (PBEsol, the Alexandria database).

Results
calculated formation energy: -0.65 eV/atom

abc: 8.7319 8.7319 9.5056
angles: 90.00 90.00 120.00
Space group P6_3/mmc (No. 194)
Symmetry-distinct sites (fractional):
Tb 0.1929 0.3858 0.2500
Al 0.0000 0.0000 0.2500
Al 0.1221 0.5611 0.7500
Al 0.1625 0.3250 0.5765
Al 0.3333 0.6667 0.0160
Ru 0.0000 0.0000 0.0000
Ru 0.0000 0.5000 0.0000

=====

These records have uncorrected energy values of -9.94, -10.10, -10.12, -6.17 eV/atom, in the order they appear.